Entry 1:
The following is a GGA-PBE calculation of crystalline RbTaSe2O8 at its relaxed geometry, from Alexandria via LeMat-Bulk.

a b c (Å): 5.700 5.700 8.376
angles (deg): 91.45 91.45 58.37
Atoms (fractional coordinates):
Se 0.646 0.646 0.195
Se 0.354 0.354 0.805
O 0.226 0.712 0.828
O 0.288 0.774 0.172
Rb 0.000 0.000 0.500
Ta 0.000 0.000 0.000
O 0.690 0.690 0.386
O 0.774 0.288 0.172
O 0.816 0.816 0.051
O 0.184 0.184 0.949
O 0.712 0.226 0.828
O 0.310 0.310 0.614

Properties
Crystal system: monoclinic
Raw formation energy, eV per atom: -1.3267
SG: C2/m, No. 12

***

Entry 2:
The following is a GGA-PBE calculation of crystalline GdCdHgBi at its relaxed geometry, from Alexandria via LeMat-Bulk.

a b c (Å): 5.364 5.364 5.364
angles (deg): 60.00 60.00 60.00
Atoms (fractional coordinates):
Gd 0.750 0.750 0.750
Bi 0.500 0.500 0.500
Cd 0.250 0.250 0.250
Hg 0.000 0.000 0.000

Properties
Formation enthalpy at 0 K, eV per atom: -0.293
Crystal system: cubic
SG: F-43m, No. 216

***

Entry 3:
The following is a GGA-PBE calculation of crystalline Ac2PrSe3 at its relaxed geometry, from Alexandria via LeMat-Bulk.

a b c (Å): 4.413 6.232 7.608
angles (deg): 114.18 106.86 90.00
Atoms (fractional coordinates):
Ac 0.832 0.832 0.165
Se 0.839 0.339 0.178
Pr 0.500 0.500 0.500
Se 0.161 0.661 0.822
Ac 0.168 0.168 0.835
Se 0.500 0.000 0.500

Properties
Crystal system: orthorhombic
Energy above the lowest structure with this stoichiometry, meV per atom: 7
Raw formation energy, eV per atom: -1.8494
SG: Immm, No. 71

***

Entry 4:
The following is a GGA-PBE calculation of crystalline Ga4PdPt at its relaxed geometry, from Alexandria via LeMat-Bulk.

a b c (Å): 4.696 4.696 7.377
angles (deg): 108.56 108.56 90.00
Atoms (fractional coordinates):
Pt 0.500 0.500 0.000
Pd 0.250 0.750 0.500
Ga 0.053 0.553 0.105
Ga 0.305 0.305 0.609
Ga 0.695 0.695 0.391
Ga 0.447 0.947 0.895

Properties
Formation enthalpy at 0 K, eV per atom: -0.295
Crystal system: tetragonal
Energy above the lowest structure with this stoichiometry, meV per atom: 214
SG: I-4m2, No. 119